# Sm2Er2Ag3

An optimized crystal structure of Sm2Er2Ag3 (PBE-GGA, Alexandria).

```
data_Sm2Er2Ag3
_cell_length_a 5.091
_cell_length_b 5.096
_cell_length_c 8.903
_cell_angle_alpha 90.09
_cell_angle_beta 106.67
_cell_angle_gamma 119.92
_space_group_name_H-M_alt 'P 1'
_space_group_IT_number 1
_space_group_name_Hall 'P 1'
loop_
_atom_site_label
_atom_site_type_symbol
_atom_site_fract_x
_atom_site_fract_y
_atom_site_fract_z
Ag1 Ag 0.506 0.253 0.758
Ag2 Ag 0.494 0.747 0.242
Ag3 Ag 0.000 0.000 0.000
Er1 Er 0.751 0.376 0.127
Er2 Er 0.249 0.624 0.873
Sm1 Sm 0.749 0.874 0.621
Sm2 Sm 0.251 0.126 0.379
```

Output
magnetization = 0.0 Bohr magnetons per cell
energy of formation from the pure elements = -103 kJ/mol of formula units
D(E_F) = 1.0132 states/eV per atom
energy = -4.03 eV per atom